First-principles (PBE-GGA) data for a relaxed structure of PrHF, as listed in Alexandria via LeMat-Bulk.

Structure (CIF):
```
data_PrHF
_cell_length_a 3.892
_cell_length_b 3.892
_cell_length_c 5.992
_cell_angle_alpha 90.00
_cell_angle_beta 90.00
_cell_angle_gamma 90.00
_symmetry_space_group_name_H-M 'P 4/n m m'
_symmetry_Int_Tables_number 129
loop_
_symmetry_equiv_pos_as_xyz
'x,y,z'
'-x,-y,-z'
'-y+1/2,x,z'
'y+1/2,-x,-z'
'-x+1/2,-y+1/2,z'
'x+1/2,y+1/2,-z'
'y,-x+1/2,z'
'-y,x+1/2,-z'
'x+1/2,-y,-z'
'-x+1/2,y,z'
'-y,-x,-z'
'y,x,z'
'-x,y+1/2,-z'
'x,-y+1/2,z'
'y+1/2,x+1/2,-z'
'-y+1/2,-x+1/2,z'
loop_
_atom_site_label
_atom_site_type_symbol
_atom_site_fract_x
_atom_site_fract_y
_atom_site_fract_z
Pr1 Pr 0.250 0.250 0.229
H1 H 0.250 0.750 0.000
F1 F 0.250 0.750 0.500
```

Values from the calculation:
- E_tot (eV/atom) = -5.434
- ρ (g/cm3) = 5.89
- energy above the most stable polymorph in this dataset (meV/atom) = 0